[1]
The following is a PBE-GGA calculation of a relaxed K2HgBr crystal, from Alexandria via LeMat-Bulk.

abc: 6.0019 6.0019 6.0019
angles: 60.00 60.00 60.00
With the nearest neighbours (Å) after each atom.
Atoms (fractional coordinates):
K1 0.0000 0.0000 0.0000  4 Hg 3.68, 4 K 3.68
K2 0.2500 0.2500 0.2500  4 Br 3.68, 4 K 3.68
Hg1 0.7500 0.7500 0.7500  4 Br 3.68, 4 K 3.68
Br1 0.5000 0.5000 0.5000  4 Hg 3.68, 4 K 3.68

Formation energy without anion corrections   -0.580 eV/atom
Total magnetization   0.00 μB/f.u.
Relative energy among the computed polymorphs   0.328 eV/atom
Space group   No. 216

[2]
The following is a PBE-GGA calculation of a relaxed SrDy5S6 crystal, from Alexandria via LeMat-Bulk.

abc: 6.8440 6.8440 6.8666
angles: 99.55 99.55 120.07
With the nearest neighbours (Å) after each atom.
Atoms (fractional coordinates):
Sr1 0.0000 0.0000 0.0000  6 S 2.86-2.88
Dy1 0.1626 0.8374 0.5000  6 S 2.75-2.80
Dy2 0.3330 0.6670 0.0000  6 S 2.78-2.80
Dy3 0.5000 0.5000 0.5000  6 S 2.74-2.79
Dy4 0.6670 0.3330 0.0000  6 S 2.78-2.80
Dy5 0.8374 0.1626 0.5000  6 S 2.75-2.80
S1 0.0860 0.4287 0.2580  5 Dy 2.75-2.80, 1 Sr 2.88
S2 0.2587 0.2587 0.7477  5 Dy 2.74-2.78, 1 Sr 2.86
S3 0.4287 0.0860 0.2580  5 Dy 2.75-2.80, 1 Sr 2.88
S4 0.5713 0.9140 0.7420  5 Dy 2.75-2.80, 1 Sr 2.88
S5 0.7413 0.7413 0.2523  5 Dy 2.74-2.78, 1 Sr 2.86
S6 0.9140 0.5713 0.7420  5 Dy 2.75-2.80, 1 Sr 2.88

Formation energy without anion corrections   -1.988 eV/atom
Total magnetization   0.00 μB/f.u.
Space group   No. 12

[3]
The following is a PBE-GGA calculation of a relaxed ZrCdSb crystal, from Alexandria via LeMat-Bulk.

abc: 4.8441 4.8441 4.8441
angles: 60.00 60.00 60.00
With the nearest neighbours (Å) after each atom.
Atoms (fractional coordinates):
Zr1 0.0000 0.0000 0.0000  4 Sb 2.97
Cd1 0.5000 0.5000 0.5000  4 Sb 2.97
Sb1 0.2500 0.2500 0.2500  4 Zr 2.97, 4 Cd 2.97

Formation energy without anion corrections   0.198 eV/atom
Total magnetization   0.57 μB/f.u.
Relative energy among the computed polymorphs   0.498 eV/atom
Space group   No. 216

[4]
The following is a PBE-GGA calculation of a relaxed Sr3IrBr crystal, from Alexandria via LeMat-Bulk.

abc: 9.2320 4.4343 9.7855
angles: 90.00 112.98 90.00
With the nearest neighbours (Å) after each atom.
Atoms (fractional coordinates):
Sr1 0.0911 0.2500 0.2682  3 Ir 3.03-3.32, 2 Br 3.38
Sr2 0.2769 0.2500 0.9353  1 Ir 3.48, 2 Sr 3.89
Sr3 0.3206 0.7500 0.6217  3 Ir 3.12-3.26, 3 Br 3.29-3.38
Sr4 0.6794 0.2500 0.3783  3 Ir 3.12-3.26, 3 Br 3.29-3.38
Sr5 0.7231 0.7500 0.0647  1 Ir 3.48, 2 Sr 3.89
Sr6 0.9089 0.7500 0.7318  3 Ir 3.03-3.32, 2 Br 3.38
Ir1 0.0432 0.2500 0.5572  2 Ir 2.47
Ir2 0.9568 0.7500 0.4428  2 Ir 2.47
Br1 0.3832 0.7500 0.3134  5 Sr 3.29-3.38
Br2 0.6168 0.2500 0.6866  5 Sr 3.29-3.38

Formation energy without anion corrections   -0.705 eV/atom
Total magnetization   0.00 μB/f.u.
Relative energy among the computed polymorphs   0.000 eV/atom
Space group   No. 11

[5]
The following is a PBE-GGA calculation of a relaxed Hf3Zr5In3 crystal, from Alexandria via LeMat-Bulk.

abc: 10.0710 10.0710 3.0668
angles: 90.00 90.00 120.00
With the nearest neighbours (Å) after each atom.
Atoms (fractional coordinates):
Hf1 0.0000 0.5950 0.0000  3 Zr 2.87-3.06, 2 In 2.88, 2 Hf 3.07
Hf2 0.4050 0.4050 0.0000  3 Zr 2.87-3.06, 2 In 2.88, 2 Hf 3.07
Hf3 0.5950 0.0000 0.0000  3 Zr 2.87-3.06, 2 In 2.88, 2 Hf 3.07
Zr1 0.0000 0.3099 0.0000  1 Hf 2.87, 2 Zr 3.07, 4 In 3.11
Zr2 0.3099 0.0000 0.0000  1 Hf 2.87, 2 Zr 3.07, 4 In 3.11
Zr3 0.3333 0.6667 0.0000  3 Hf 3.06, 2 Zr 3.07
Zr4 0.6667 0.3333 0.0000  3 Hf 3.06, 2 Zr 3.07
Zr5 0.6901 0.6901 0.0000  1 Hf 2.87, 2 Zr 3.07, 4 In 3.11
In1 0.0000 0.8367 0.5000  4 In 2.85-3.07, 2 Hf 2.88, 4 Zr 3.11
In2 0.1633 0.1633 0.5000  4 In 2.85-3.07, 2 Hf 2.88, 4 Zr 3.11
In3 0.8367 0.0000 0.5000  4 In 2.85-3.07, 2 Hf 2.88, 4 Zr 3.11

Energy of formation from the pure elements   38.7 kJ per mole of atoms
Total magnetization   0.00 μB/f.u.
Relative energy among the computed polymorphs   0.034 eV/atom
Space group   No. 189

[6]
The following is a PBE-GGA calculation of a relaxed BaReSiO6 crystal, from Alexandria via LeMat-Bulk.

abc: 5.0780 5.0780 5.7626
angles: 90.00 90.00 120.00
With the nearest neighbours (Å) after each atom.
Atoms (fractional coordinates):
Ba1 0.0000 0.0000 0.0000  6 O 2.74
Re1 0.3333 0.6667 0.5000  6 O 1.94
Si1 0.6667 0.3333 0.5000  6 O 1.81
O1 0.4106 0.0181 0.6835  1 Si 1.81, 1 Re 1.94
O2 0.4106 0.3925 0.3165  1 Si 1.81, 1 Re 1.94
O3 0.6075 0.0181 0.3165  1 Si 1.81, 1 Re 1.94
O4 0.6075 0.5894 0.6835  1 Si 1.81, 1 Re 1.94
O5 0.9819 0.3925 0.6835  1 Si 1.81, 1 Re 1.94
O6 0.9819 0.5894 0.3165  1 Si 1.81, 1 Re 1.94

Formation energy without anion corrections   -2.262 eV/atom
Total magnetization   1.00 μB/f.u.
Space group   No. 149